# ReHg3As

ReHg3As after structural relaxation (PBE-GGA, Alexandria).

Crystal system   cubic
DFT formation energy   1.279 eV per atom
Size of the total moment   3.0 μB per formula unit
Distance to the lowest polymorph of the same formula   0 meV per atom
Calculated density   9.68 Mg/m³

a b c (Å): 5.2903 5.2903 5.2903
angles (deg): 90.00 90.00 90.00
Site moments in Bohr magnetons follow the coordinates.
Fractional positions:
Re: 0.0000 0.0000 0.0000  1.98
As: 0.5000 0.5000 0.5000  0.31
Hg: 0.0000 0.5000 0.0000  0.04
Hg: 0.0000 0.0000 0.5000  0.07
Hg: 0.5000 0.0000 0.0000  0.00